BaMnS3 | PBE | relaxed

abc: 4.3600 5.1129 5.1161
angles: 85.50 90.00 90.00
Each line ends with the local moment (μB).
Fractional positions:
S (0.4880, 0.0183, 0.5010)  -0.01
S (0.4880, 0.5029, 0.0164)  -0.01
S (0.9880, 0.5371, 0.5350)  -0.09
Ba (0.9880, 0.9981, 0.9961)  0.02
Mn (0.4880, 0.4436, 0.4415)  2.87

Output
The value obtained for the density of states at the Fermi level is 1.4 states/eV/cell. For the uncorrected formation energy, the calculation gives -1.0572 eV/atom. As for the total energy: -5.75 eV/atom.